No. 1
# AlZn7Ag12

A relaxed AlZn7Ag12 crystal (PBE, Alexandria).

Summary:
E_form = 0.0108 eV per atom
E_tot = -46.7 eV for the cell shown
space-group type = R-3 (148)

Cell lengths 7.4449, 7.4449, 7.4449 Å; angles 107.29, 107.29, 107.29 degrees
With the nearest neighbours (Å) after each atom.
Fractional positions:
Al  0.0000  0.0000  0.0000  6 Zn 2.75, 6 Ag 2.91
Zn  0.0981  0.6695  0.9850  1 Zn 2.62, 7 Ag 2.66-2.90, 1 Al 2.75
Zn  0.3305  0.0150  0.9019  1 Zn 2.62, 7 Ag 2.66-2.90, 1 Al 2.75
Zn  0.0150  0.9019  0.3305  1 Zn 2.62, 7 Ag 2.66-2.90, 1 Al 2.75
Zn  0.5000  0.5000  0.5000  12 Ag 2.81-3.03
Zn  0.9850  0.0981  0.6695  1 Zn 2.62, 7 Ag 2.66-2.90, 1 Al 2.75
Zn  0.6695  0.9850  0.0981  1 Zn 2.62, 7 Ag 2.66-2.90, 1 Al 2.75
Zn  0.9019  0.3305  0.0150  1 Zn 2.62, 7 Ag 2.66-2.90, 1 Al 2.75
Ag  0.7763  0.3278  0.6263  4 Zn 2.66-2.81, 2 Ag 2.84
Ag  0.6722  0.3737  0.2237  4 Zn 2.66-2.81, 2 Ag 2.84
Ag  0.3898  0.0418  0.2866  4 Zn 2.70-2.90, 4 Ag 2.84-3.01, 1 Al 2.91
Ag  0.9582  0.7134  0.6102  4 Zn 2.70-2.90, 4 Ag 2.84-3.01, 1 Al 2.91
Ag  0.3737  0.2237  0.6722  4 Zn 2.66-2.81, 2 Ag 2.84
Ag  0.7134  0.6102  0.9582  4 Zn 2.70-2.90, 4 Ag 2.84-3.01, 1 Al 2.91
Ag  0.2866  0.3898  0.0418  4 Zn 2.70-2.90, 4 Ag 2.84-3.01, 1 Al 2.91
Ag  0.6263  0.7763  0.3278  4 Zn 2.66-2.81, 2 Ag 2.84
Ag  0.0418  0.2866  0.3898  4 Zn 2.70-2.90, 4 Ag 2.84-3.01, 1 Al 2.91
Ag  0.6102  0.9582  0.7134  4 Zn 2.70-2.90, 4 Ag 2.84-3.01, 1 Al 2.91
Ag  0.3278  0.6263  0.7763  4 Zn 2.66-2.81, 2 Ag 2.84
Ag  0.2237  0.6722  0.3737  4 Zn 2.66-2.81, 2 Ag 2.84

***

No. 2
# ScCrNiGe

A relaxed ScCrNiGe crystal (PBE, Alexandria).

Summary:
energy relative to the lowest polymorph listed for this composition = 128.2 meV/atom
E_form = -0.1405 eV per atom
E_tot = -26.9 eV for the cell shown
space-group type = P4mm (99)

Cell lengths 3.2189, 3.2189, 5.7384 Å; angles 90.00, 90.00, 90.00 degrees
With the nearest neighbours (Å) after each atom.
Fractional positions:
Sc  0.0000  0.0000  0.3352  4 Ni 2.75, 4 Cr 2.82, 2 Ge 2.84-2.90
Cr  0.5000  0.5000  0.6246  1 Ni 2.53, 4 Ge 2.56, 4 Sc 2.82
Ni  0.5000  0.5000  0.0651  1 Cr 2.53, 4 Ge 2.65, 4 Sc 2.75
Ge  0.0000  0.0000  0.8294  4 Cr 2.56, 4 Ni 2.65, 1 Sc 2.84